# MnIr12Rh3 | Alexandria | GGA-PBE | relaxed
# M_tot: 1.48 μB/f.u.
# E_tot: -8.64 eV per atom
# Fermi-level density of states: 13.9 states/eV/cell
# DFT formation energy: -0.0454 eV per atom
data_MnIr12Rh3
_space_group_name_H-M_alt 'P 4/m m m'
_space_group_IT_number 123
_space_group_name_Hall '-P 4 2'
_cell_length_a 3.853
_cell_length_b 3.853
_cell_length_c 15.424
_cell_angle_alpha 90.00
_cell_angle_beta 90.00
_cell_angle_gamma 90.00
loop_
_atom_site_label
_atom_site_fract_x
_atom_site_fract_y
_atom_site_fract_z
Mn1 0.000 0.000 0.000
Ir1 0.000 0.500 0.122
Ir2 0.000 0.500 0.374
Ir3 0.500 0.500 0.000
Ir4 0.500 0.500 0.249
Ir5 0.500 0.500 0.500
Rh1 0.000 0.000 0.250
Rh2 0.000 0.000 0.500


# Mn2Ir15Rh2 | Alexandria | GGA-PBE | relaxed
# M_tot: 8.26 μB/f.u.
# E_tot: -8.34 eV per atom
# Fermi-level density of states: 89.5 states/eV/cell
# DFT formation energy: 0.3938 eV per atom
data_Mn2Ir15Rh2
_space_group_name_H-M_alt 'R -3 m'
_space_group_IT_number 166
_space_group_name_Hall '-R 3 2"'
_cell_length_a 8.8417
_cell_length_b 8.8417
_cell_length_c 13.5113
_cell_angle_alpha 90.00
_cell_angle_beta 90.00
_cell_angle_gamma 120.00
loop_
_atom_site_label
_atom_site_fract_x
_atom_site_fract_y
_atom_site_fract_z
Mn1 0.0000 0.0000 0.0967
Ir1 0.0000 0.3028 0.0000
Ir2 0.0000 0.5000 0.5000
Ir3 0.0064 0.5032 0.1455
Rh1 0.0000 0.0000 0.2819